Record 1
Computed, not measured: a geometry-optimized Sc6Zn2In structure at the GGA-PBE level of DFT.

Calculated values
Calculated volume ... 22.1 Å³/atom
Calculated formation energy ... -0.25 eV per atom
Total magnetization ... 0.000 μB/atom
E ... -5.061 eV per atom

Unit cell a=9.0310 b=9.1461 c=9.6487 alpha=90.00 beta=90.00 gamma=90.00
Space group Immm (No. 71)
Asymmetric unit:
Sc1 0.0000 0.2141 0.1846 [8 per cell]
Sc2 0.1873 0.2224 0.5000 [8 per cell]
Sc3 0.2077 0.5000 0.2579 [8 per cell]
Zn1 0.0000 0.0000 0.3731 [4 per cell]
Zn2 0.1410 0.0000 0.0000 [4 per cell]
In1 0.0000 0.5000 0.0000 [2 per cell]
In2 0.0000 0.5000 0.5000 [2 per cell]

---

Record 2
Computed, not measured: a geometry-optimized Sc2ZnIn structure at the GGA-PBE level of DFT.

Calculated values
Calculated volume ... 20.6 Å³/atom
Calculated formation energy ... -0.42 eV per atom
Total magnetization ... 0.000 μB/atom
E ... -4.584 eV per atom

Unit cell a=3.4319 b=3.4319 c=6.9993 alpha=90.00 beta=90.00 gamma=90.00
Space group P4/mmm (No. 123)
Asymmetric unit:
Sc1 0.0000 0.0000 0.2283 [2 per cell]
Zn1 0.5000 0.5000 0.0000 [1 per cell]
In1 0.5000 0.5000 0.5000 [1 per cell]

---

Record 3
Computed, not measured: a geometry-optimized Sc4ZnIn structure at the GGA-PBE level of DFT.

Calculated values
Calculated volume ... 23.6 Å³/atom
Calculated formation energy ... -0.05 eV per atom
Energy above the most stable polymorph in this dataset ... 0 meV/atom
Total magnetization ... 0.000 μB/atom
E ... -4.942 eV per atom

Unit cell a=3.3076 b=5.1917 c=8.2403 alpha=90.00 beta=90.00 gamma=90.00
Space group Pmmm (No. 47)
Asymmetric unit:
Sc1 0.0000 0.0000 0.1875 [2 per cell]
Sc2 0.5000 0.5000 0.2870 [2 per cell]
Zn1 0.0000 0.5000 0.0000 [1 per cell]
In1 0.5000 0.0000 0.5000 [1 per cell]

---

Record 4
Computed, not measured: a geometry-optimized ScZn2In structure at the GGA-PBE level of DFT.

Calculated values
Calculated volume ... 19.3 Å³/atom
Calculated formation energy ... -0.19 eV per atom
Total magnetization ... 0.000 μB/atom
E ... -3.093 eV per atom

Unit cell a=3.2307 b=4.3388 c=5.7292 alpha=90.00 beta=106.30 gamma=90.00
Space group Pm (No. 6)
Asymmetric unit:
Sc1 0.0000 0.0000 0.0000 [1 per cell]
Zn1 0.6023 0.5000 0.2053 [1 per cell]
Zn2 0.7295 0.0000 0.4583 [1 per cell]
In1 0.3409 0.5000 0.6823 [1 per cell]

---

Record 5
Computed, not measured: a geometry-optimized ScZn2In structure at the GGA-PBE level of DFT.

Calculated values
Calculated volume ... 21.0 Å³/atom
Calculated formation energy ... 0.00 eV per atom
Total magnetization ... 0.000 μB/atom
E ... -2.908 eV per atom

Unit cell a=3.2837 b=3.2837 c=27.0045 alpha=90.00 beta=90.00 gamma=120.00
Space group R-3m (No. 166, hexagonal axes)
Asymmetric unit:
Sc1 0.0000 0.0000 0.0000 [3 per cell]
Zn1 0.0000 0.0000 0.2520 [6 per cell]
In1 0.0000 0.0000 0.5000 [3 per cell]

---

Record 6
Computed, not measured: a geometry-optimized ScZn2In structure at the GGA-PBE level of DFT.

Calculated values
Calculated volume ... 19.8 Å³/atom
Calculated formation energy ... -0.21 eV per atom
Total magnetization ... 0.000 μB/atom
E ... -3.111 eV per atom

Unit cell a=3.1306 b=4.5254 c=5.5906 alpha=90.00 beta=90.11 gamma=90.00
Space group P2/m (No. 10)
Asymmetric unit:
Sc1 0.0000 0.0000 0.0000 [1 per cell]
Zn1 0.4972 0.5000 0.7759 [2 per cell]
In1 0.5000 0.0000 0.5000 [1 per cell]

---

Record 7
Computed, not measured: a geometry-optimized Zr4Sc8In structure at the GGA-PBE level of DFT.

Calculated values
Calculated volume ... 23.6 Å³/atom
Calculated formation energy ... -0.05 eV per atom
Total magnetization ... 0.000 μB/atom
E ... -6.784 eV per atom

Unit cell a=3.1999 b=7.9843 c=12.7688 alpha=106.07 beta=90.13 gamma=101.50
Space group P-1 (No. 2)
Asymmetric unit:
Zr1 0.1205 0.2392 0.3239 [2 per cell]
Zr2 0.1556 0.3112 0.9722 [2 per cell]
Sc1 0.2597 0.5181 0.7957 [2 per cell]
Sc2 0.3157 0.6333 0.4474 [2 per cell]
Sc3 0.4322 0.8638 0.2750 [2 per cell]
Sc4 0.4585 0.9206 0.8873 [2 per cell]
In1 0.0000 0.0000 0.5000 [1 per cell]

---

Record 8
Computed, not measured: a geometry-optimized Zr4ScIn structure at the GGA-PBE level of DFT.

Calculated values
Calculated volume ... 23.6 Å³/atom
Calculated formation energy ... 0.13 eV per atom
Energy above the most stable polymorph in this dataset ... 290 meV/atom
Total magnetization ... 0.000 μB/atom
E ... -7.079 eV per atom

Unit cell a=8.2756 b=8.2756 c=8.2756 alpha=90.00 beta=90.00 gamma=90.00
Space group F-43m (No. 216)
Asymmetric unit:
Zr1 0.1227 0.1227 0.3773 [16 per cell]
Sc1 0.2500 0.2500 0.7500 [4 per cell]
In1 0.0000 0.0000 0.0000 [4 per cell]